No. 1
Compound: Li15Pd2Rh2
Source: Alexandria
Functional: PBE
Structure: relaxed

Calculated values
formation energy from the elements = -0.036 eV/atom
calculated total energy = -2.8672 eV per atom
SG = R-3m (166)

abc: 6.9294 6.9294 6.9294
angles: 68.52 68.52 68.52
Sites, in units of the cell vectors:
1 Li 0.0000 0.0000 0.5000
2 Li 0.0000 0.2891 0.7109
3 Li 0.0000 0.5000 0.0000
4 Li 0.0000 0.7109 0.2891
5 Li 0.1809 0.5681 0.5681
6 Li 0.2891 0.0000 0.7109
7 Li 0.2891 0.7109 0.0000
8 Li 0.4319 0.4319 0.8191
9 Li 0.4319 0.8191 0.4319
10 Li 0.5000 0.0000 0.0000
11 Li 0.5681 0.1809 0.5681
12 Li 0.5681 0.5681 0.1809
13 Li 0.7109 0.0000 0.2891
14 Li 0.7109 0.2891 0.0000
15 Li 0.8191 0.4319 0.4319
16 Pd 0.2838 0.2838 0.2838
17 Pd 0.7162 0.7162 0.7162
18 Rh 0.0920 0.0920 0.0920
19 Rh 0.9080 0.9080 0.9080

---

No. 2
Compound: LiPd2Rh
Source: Alexandria
Functional: PBE
Structure: relaxed

Calculated values
formation energy from the elements = 0.214 eV/atom
energy above the most stable polymorph in this dataset = 1.74 eV/f.u.
calculated total energy = -4.6989 eV per atom
SG = I-42d (122)

abc: 9.3278 9.3278 9.3278
angles: 156.91 156.91 32.89
Sites, in units of the cell vectors:
1 Li 0.0000 0.0000 0.0000
2 Li 0.7500 0.2500 0.5000
3 Pd 0.1237 0.6250 0.9987
4 Pd 0.3750 0.3737 0.4987
5 Pd 0.6263 0.1250 0.0013
6 Pd 0.8750 0.8763 0.5013
7 Rh 0.2500 0.7500 0.5000
8 Rh 0.5000 0.5000 0.0000

---

No. 3
Compound: Li7Pd2Rh
Source: Alexandria
Functional: PBE
Structure: relaxed

Calculated values
formation energy from the elements = -0.081 eV/atom
calculated total energy = -3.1945 eV per atom
SG = Cmmm (65)

abc: 8.3116 8.3116 2.6973
angles: 90.00 90.00 117.19
Sites, in units of the cell vectors:
1 Li 0.0000 0.0000 0.0000
2 Li 0.1703 0.3685 0.0000
3 Li 0.3126 0.6874 0.5000
4 Li 0.3685 0.1703 0.0000
5 Li 0.6315 0.8297 0.0000
6 Li 0.6874 0.3126 0.5000
7 Li 0.8297 0.6315 0.0000
8 Pd 0.1660 0.8340 0.0000
9 Pd 0.8340 0.1660 0.0000
10 Rh 0.5000 0.5000 0.5000

---

No. 4
Compound: Li12Pd2Rh
Source: Alexandria
Functional: PBE
Structure: relaxed

Calculated values
formation energy from the elements = -0.095 eV/atom
calculated total energy = -2.8090 eV per atom
SG = Cmme (67)

abc: 5.2093 5.2093 20.7063
angles: 90.00 90.00 117.13
Sites, in units of the cell vectors:
1 Li 0.9997 0.0003 0.0576
2 Li 0.0003 0.9997 0.9424
3 Li 0.0017 0.5017 0.8847
4 Li 0.0138 0.5138 0.3527
5 Li 0.0664 0.9336 0.5595
6 Li 0.2500 0.2500 0.1874
7 Li 0.2500 0.2500 0.2992
8 Li 0.2500 0.2500 0.7008
9 Li 0.2500 0.2500 0.8126
10 Li 0.4336 0.5664 0.5595
11 Li 0.4862 0.9862 0.3527
12 Li 0.4983 0.9983 0.8847
13 Li 0.5003 0.4997 0.0576
14 Li 0.4997 0.5003 0.9424
15 Li 0.5017 0.0017 0.1153
16 Li 0.5138 0.0138 0.6473
17 Li 0.5664 0.4336 0.4405
18 Li 0.7500 0.7500 0.1874
19 Li 0.7500 0.7500 0.2992
20 Li 0.7500 0.7500 0.7008
21 Li 0.7500 0.7500 0.8126
22 Li 0.9336 0.0664 0.4405
23 Li 0.9862 0.4862 0.6473
24 Li 0.9983 0.4983 0.1153
25 Pd 0.2500 0.7500 0.2372
26 Pd 0.2500 0.7500 0.7615
27 Pd 0.7500 0.2500 0.2385
28 Pd 0.7500 0.2500 0.7628
29 Rh 0.2500 0.7500 0.0004
30 Rh 0.7500 0.2500 0.9996

---

No. 5
Compound: LiPdRh2
Source: Alexandria
Functional: PBE
Structure: relaxed

Calculated values
formation energy from the elements = 0.245 eV/atom
calculated total energy = -5.2076 eV per atom
SG = I-42d (122)

abc: 9.6235 9.6235 9.6235
angles: 158.35 158.35 30.80
Sites, in units of the cell vectors:
1 Li 0.0000 0.0000 0.0000
2 Li 0.7500 0.2500 0.5000
3 Pd 0.2500 0.7500 0.5000
4 Pd 0.5000 0.5000 0.0000
5 Rh 0.1188 0.6250 0.9938
6 Rh 0.3750 0.3688 0.4938
7 Rh 0.6312 0.1250 0.0062
8 Rh 0.8750 0.8812 0.5062

---

No. 6
Compound: Li2PdRh2
Source: Alexandria
Functional: PBE
Structure: relaxed

Calculated values
formation energy from the elements = 0.048 eV/atom
energy above the most stable polymorph in this dataset = 0.00 eV/f.u.
calculated total energy = -4.6963 eV per atom
SG = P4/mbm (127)

abc: 6.7363 6.7363 2.8371
angles: 90.00 90.00 90.00
Sites, in units of the cell vectors:
1 Li 0.1168 0.3832 0.0000
2 Li 0.3832 0.8832 0.0000
3 Li 0.6168 0.1168 0.0000
4 Li 0.8832 0.6168 0.0000
5 Pd 0.0000 0.0000 0.0000
6 Pd 0.5000 0.5000 0.0000
7 Rh 0.1851 0.6851 0.5000
8 Rh 0.3149 0.1851 0.5000
9 Rh 0.6851 0.8149 0.5000
10 Rh 0.8149 0.3149 0.5000